w.
# Mn2BrCl (GGA-PBE, relaxed)
# - D(E_F) (states/eV/f.u.) = 2.52
# - total magnetic moment (μB per atom) = 2.09
data_Mn2BrCl
_chemical_formula_sum 'Mn4 Br2 Cl2'
_cell_length_a 3.6810
_cell_length_b 3.6810
_cell_length_c 12.4269
_cell_angle_alpha 90.00
_cell_angle_beta 90.00
_cell_angle_gamma 90.00
_symmetry_space_group_name_H-M 'I -4 m 2'
_symmetry_Int_Tables_number 119
_symmetry_space_group_name_Hall 'I -4 -2'
loop_
_atom_site_label
_atom_site_type_symbol
_atom_site_fract_x
_atom_site_fract_y
_atom_site_fract_z
Mn1 Mn 0.0000 0.0000 0.0000
Mn2 Mn 0.0000 0.5000 0.2500
Br1 Br 0.0000 0.5000 0.7500
Cl1 Cl 0.0000 0.0000 0.5000

---

x.
# Mn2BrCl (GGA-PBE, relaxed)
# - D(E_F) (states/eV/f.u.) = 0.89
# - total magnetic moment (μB per atom) = 2.03
data_Mn2BrCl
_chemical_formula_sum 'Mn2 Br1 Cl1'
_cell_length_a 3.3250
_cell_length_b 3.3250
_cell_length_c 7.6503
_cell_angle_alpha 90.00
_cell_angle_beta 90.00
_cell_angle_gamma 90.00
_symmetry_space_group_name_H-M 'P 4 m m'
_symmetry_Int_Tables_number 99
_symmetry_space_group_name_Hall 'P 4 -2'
loop_
_atom_site_label
_atom_site_type_symbol
_atom_site_fract_x
_atom_site_fract_y
_atom_site_fract_z
Mn1 Mn 0.0000 0.0000 0.0000
Mn2 Mn 0.5000 0.5000 0.2084
Br1 Br 0.0000 0.0000 0.3931
Cl1 Cl 0.5000 0.5000 0.8412

---

y.
# Mn2BrCl (GGA-PBE, relaxed)
# - D(E_F) (states/eV/f.u.) = 1.34
# - total magnetic moment (μB per atom) = 2.07
data_Mn2BrCl
_chemical_formula_sum 'Mn4 Br2 Cl2'
_cell_length_a 3.3058
_cell_length_b 6.0879
_cell_length_c 8.1692
_cell_angle_alpha 90.00
_cell_angle_beta 90.00
_cell_angle_gamma 90.00
_symmetry_space_group_name_H-M 'C m m m'
_symmetry_Int_Tables_number 65
_symmetry_space_group_name_Hall '-C 2 2'
loop_
_atom_site_label
_atom_site_type_symbol
_atom_site_fract_x
_atom_site_fract_y
_atom_site_fract_z
Mn1 Mn 0.0000 0.0000 0.2418
Br1 Br 0.0000 0.5000 0.5000
Cl1 Cl 0.0000 0.5000 0.0000

---

Stability order, top to bottom: x, y, w

---

w.
# Mn2BrCl (GGA-PBE, relaxed)
# - D(E_F) (states/eV/f.u.) = 0.81
# - total magnetic moment (μB per atom) = 2.03
data_Mn2BrCl
_chemical_formula_sum 'Mn2 Br1 Cl1'
_cell_length_a 3.3219
_cell_length_b 3.3210
_cell_length_c 7.8765
_cell_angle_alpha 90.00
_cell_angle_beta 95.51
_cell_angle_gamma 90.00
_symmetry_space_group_name_H-M 'P 1 m 1'
_symmetry_Int_Tables_number 6
_symmetry_space_group_name_Hall 'P -2y'
loop_
_atom_site_label
_atom_site_type_symbol
_atom_site_fract_x
_atom_site_fract_y
_atom_site_fract_z
Mn1 Mn 0.0000 0.0000 0.0000
Mn2 Mn 0.4542 0.5000 0.7958
Br1 Br 0.9145 0.0000 0.6153
Cl1 Cl 0.5337 0.5000 0.1555

---

x.
# Mn2BrCl (GGA-PBE, relaxed)
# - D(E_F) (states/eV/f.u.) = 1.98
# - total magnetic moment (μB per atom) = 2.07
data_Mn2BrCl
_chemical_formula_sum 'Mn2 Br1 Cl1'
_cell_length_a 3.4941
_cell_length_b 4.0425
_cell_length_c 6.1231
_cell_angle_alpha 90.00
_cell_angle_beta 95.86
_cell_angle_gamma 90.00
_symmetry_space_group_name_H-M 'P 1 2/m 1'
_symmetry_Int_Tables_number 10
_symmetry_space_group_name_Hall '-P 2y'
loop_
_atom_site_label
_atom_site_type_symbol
_atom_site_fract_x
_atom_site_fract_y
_atom_site_fract_z
Mn1 Mn 0.2152 0.0000 0.3158
Br1 Br 0.0000 0.5000 0.0000
Cl1 Cl 0.5000 0.5000 0.5000

---

Stability order, top to bottom: w, x

---

w.
# Mn2BrCl (GGA-PBE, relaxed)
# - D(E_F) (states/eV/f.u.) = 5.43
# - total magnetic moment (μB per atom) = 0.00
data_Mn2BrCl
_chemical_formula_sum 'Mn8 Br4 Cl4'
_cell_length_a 6.0320
_cell_length_b 6.0320
_cell_length_c 6.0320
_cell_angle_alpha 90.00
_cell_angle_beta 90.00
_cell_angle_gamma 90.00
_symmetry_space_group_name_H-M 'F m -3 m'
_symmetry_Int_Tables_number 225
_symmetry_space_group_name_Hall '-F 4 2 3'
loop_
_atom_site_label
_atom_site_type_symbol
_atom_site_fract_x
_atom_site_fract_y
_atom_site_fract_z
Mn1 Mn 0.2500 0.2500 0.2500
Br1 Br 0.0000 0.0000 0.0000
Cl1 Cl 0.0000 0.0000 0.5000

---

x.
# Mn2BrCl (GGA-PBE, relaxed)
# - D(E_F) (states/eV/f.u.) = 1.35
# - total magnetic moment (μB per atom) = 2.06
data_Mn2BrCl
_chemical_formula_sum 'Mn2 Br1 Cl1'
_cell_length_a 3.3112
_cell_length_b 4.0965
_cell_length_c 6.0389
_cell_angle_alpha 90.00
_cell_angle_beta 90.00
_cell_angle_gamma 90.00
_symmetry_space_group_name_H-M 'P m m m'
_symmetry_Int_Tables_number 47
_symmetry_space_group_name_Hall '-P 2 2'
loop_
_atom_site_label
_atom_site_type_symbol
_atom_site_fract_x
_atom_site_fract_y
_atom_site_fract_z
Mn1 Mn 0.0000 0.0000 0.0000
Mn2 Mn 0.5000 0.0000 0.5000
Br1 Br 0.0000 0.5000 0.5000
Cl1 Cl 0.5000 0.5000 0.0000

---

Stability order, top to bottom: x, w

---

w.
# Mn2BrCl (GGA-PBE, relaxed)
# - D(E_F) (states/eV/f.u.) = 1.30
# - total magnetic moment (μB per atom) = 2.06
data_Mn2BrCl
_chemical_formula_sum 'Mn4 Br2 Cl2'
_cell_length_a 3.3083
_cell_length_b 6.0375
_cell_length_c 8.1536
_cell_angle_alpha 90.00
_cell_angle_beta 90.00
_cell_angle_gamma 90.00
_symmetry_space_group_name_H-M 'I m m m'
_symmetry_Int_Tables_number 71
_symmetry_space_group_name_Hall '-I 2 2'
loop_
_atom_site_label
_atom_site_type_symbol
_atom_site_fract_x
_atom_site_fract_y
_atom_site_fract_z
Mn1 Mn 0.0000 0.0000 0.2381
Br1 Br 0.0000 0.5000 0.0000
Cl1 Cl 0.0000 0.5000 0.5000

---

x.
# Mn2BrCl (GGA-PBE, relaxed)
# - D(E_F) (states/eV/f.u.) = 2.99
# - total magnetic moment (μB per atom) = 0.56
data_Mn2BrCl
_chemical_formula_sum 'Mn4 Br2 Cl2'
_cell_length_a 8.9359
_cell_length_b 3.2325
_cell_length_c 7.0656
_cell_angle_alpha 90.00
_cell_angle_beta 128.83
_cell_angle_gamma 90.00
_symmetry_space_group_name_H-M 'C 1 2/m 1'
_symmetry_Int_Tables_number 12
_symmetry_space_group_name_Hall '-C 2y'
loop_
_atom_site_label
_atom_site_type_symbol
_atom_site_fract_x
_atom_site_fract_y
_atom_site_fract_z
Mn1 Mn 0.2262 0.0000 0.3878
Br1 Br 0.0000 0.5000 0.0000
Cl1 Cl 0.0000 0.0000 0.5000

---

y.
# Mn2BrCl (GGA-PBE, relaxed)
# - D(E_F) (states/eV/f.u.) = 5.75
# - total magnetic moment (μB per atom) = 2.13
data_Mn2BrCl
_chemical_formula_sum 'Mn8 Br4 Cl4'
_cell_length_a 6.8783
_cell_length_b 6.8783
_cell_length_c 6.8783
_cell_angle_alpha 90.00
_cell_angle_beta 90.00
_cell_angle_gamma 90.00
_symmetry_space_group_name_H-M 'F -4 3 m'
_symmetry_Int_Tables_number 216
_symmetry_space_group_name_Hall 'F -4 2 3'
loop_
_atom_site_label
_atom_site_type_symbol
_atom_site_fract_x
_atom_site_fract_y
_atom_site_fract_z
Mn1 Mn 0.0000 0.0000 0.0000
Mn2 Mn 0.2500 0.2500 0.2500
Br1 Br 0.2500 0.2500 0.7500
Cl1 Cl 0.0000 0.0000 0.5000

---

Stability order, top to bottom: w, x, y

---

w.
# Mn2BrCl (GGA-PBE, relaxed)
# - D(E_F) (states/eV/f.u.) = 2.75
# - total magnetic moment (μB per atom) = 2.21
data_Mn2BrCl
_chemical_formula_sum 'Mn4 Br2 Cl2'
_cell_length_a 3.3505
_cell_length_b 7.4663
_cell_length_c 9.4696
_cell_angle_alpha 90.00
_cell_angle_beta 90.00
_cell_angle_gamma 90.00
_symmetry_space_group_name_H-M 'I m m 2'
_symmetry_Int_Tables_number 44
_symmetry_space_group_name_Hall 'I 2 -2'
loop_
_atom_site_label
_atom_site_type_symbol
_atom_site_fract_x
_atom_site_fract_y
_atom_site_fract_z
Mn1 Mn 0.0000 0.0000 0.0000
Mn2 Mn 0.0000 0.5000 0.2590
Br1 Br 0.0000 0.5000 0.6993
Cl1 Cl 0.0000 0.0000 0.5813

---

x.
# Mn2BrCl (GGA-PBE, relaxed)
# - D(E_F) (states/eV/f.u.) = 1.20
# - total magnetic moment (μB per atom) = 2.03
data_Mn2BrCl
_chemical_formula_sum 'Mn2 Br1 Cl1'
_cell_length_a 3.3076
_cell_length_b 3.3076
_cell_length_c 6.5429
_cell_angle_alpha 90.00
_cell_angle_beta 90.00
_cell_angle_gamma 90.00
_symmetry_space_group_name_H-M 'P 4/m m m'
_symmetry_Int_Tables_number 123
_symmetry_space_group_name_Hall '-P 4 2'
loop_
_atom_site_label
_atom_site_type_symbol
_atom_site_fract_x
_atom_site_fract_y
_atom_site_fract_z
Mn1 Mn 0.0000 0.0000 0.2327
Br1 Br 0.5000 0.5000 0.5000
Cl1 Cl 0.5000 0.5000 0.0000

---

y.
# Mn2BrCl (GGA-PBE, relaxed)
# - D(E_F) (states/eV/f.u.) = 3.90
# - total magnetic moment (μB per atom) = 0.23
data_Mn2BrCl
_chemical_formula_sum 'Mn8 Br4 Cl4'
_cell_length_a 5.1255
_cell_length_b 5.1255
_cell_length_c 10.7142
_cell_angle_alpha 90.00
_cell_angle_beta 90.00
_cell_angle_gamma 90.00
_symmetry_space_group_name_H-M 'I -4 2 d'
_symmetry_Int_Tables_number 122
_symmetry_space_group_name_Hall 'I -4 2bw'
loop_
_atom_site_label
_atom_site_type_symbol
_atom_site_fract_x
_atom_site_fract_y
_atom_site_fract_z
Mn1 Mn 0.2077 0.2500 0.1250
Br1 Br 0.0000 0.0000 0.5000
Cl1 Cl 0.0000 0.0000 0.0000

---

z.
# Mn2BrCl (GGA-PBE, relaxed)
# - D(E_F) (states/eV/f.u.) = 1.34
# - total magnetic moment (μB per atom) = 2.07
data_Mn2BrCl
_chemical_formula_sum 'Mn4 Br2 Cl2'
_cell_length_a 6.5969
_cell_length_b 8.2104
_cell_length_c 3.4658
_cell_angle_alpha 90.00
_cell_angle_beta 118.87
_cell_angle_gamma 90.00
_symmetry_space_group_name_H-M 'C 1 2/m 1'
_symmetry_Int_Tables_number 12
_symmetry_space_group_name_Hall '-C 2y'
loop_
_atom_site_label
_atom_site_type_symbol
_atom_site_fract_x
_atom_site_fract_y
_atom_site_fract_z
Mn1 Mn 0.2500 0.2500 0.0000
Br1 Br 0.0000 0.0000 0.0000
Cl1 Cl 0.0000 0.5000 0.0000

---

Stability order, top to bottom: w, z, x, y